The following is a DFT calculation (PBE) of an optimized crystal structure of La4ScTe5.

Energy above the lowest structure with this stoichiometry   0.000 eV per atom
Volume   32.21 Å³/atom
E_form (uncorrected)   -1486.7 meV per atom

```
10
Lattice="2.243 1.295 18.486 -2.243 1.295 18.486 0.000 -2.590 18.486" Properties=species:S:1:pos:R:3 pbc="T T T"
La 0.000 0.000 5.767
La 0.000 0.000 16.560
La 0.000 0.000 38.899
La 0.000 0.000 49.691
Sc 0.000 0.000 27.729
Te 0.000 0.000 0.000
Te 0.000 0.000 10.768
Te 0.000 0.000 22.342
Te 0.000 0.000 33.116
Te 0.000 0.000 44.690
```